Crystalline CeNb2VO8 at its relaxed geometry. Source: Alexandria, functional PBE+U.

Cell and atoms, written as POSCAR:
```
CeNb2VO8
1.0
3.514 -3.423 0.000
3.514 3.423 0.000
-0.006 0.000 6.410
Ce Nb V O
1 2 1 8
Cartesian
0.000 0.000 0.000
3.501 0.000 4.715
3.521 0.000 1.695
-0.003 0.000 3.205
3.511 1.990 1.767
3.511 1.990 4.642
2.090 0.000 3.204
2.262 0.000 6.405
4.760 0.000 0.004
4.932 0.000 3.205
3.511 -1.990 1.767
3.511 -1.990 4.642
```

Computed properties:
symmetry = C2/m
energy = -8.711 eV per atom
density of states at the Fermi level = 4.2 states/eV/cell